Entry 1:
# CeIn2HgI6

A relaxed structure of CeIn2HgI6 (PBE, Alexandria via LeMat-Bulk).

It has space group P1 (No. 1), with a = 8.540 Å, b = 8.546 Å, c = 9.306 Å, α = 62.70°, β = 62.70° and γ = 60.03°. The distinct sites, in fractional coordinates, are Ce at (0.000, 0.000, 0.000), In at (0.184, 0.184, 0.448), In at (0.666, 0.666, 0.002), Hg at (0.491, 0.490, 0.529), I at (0.036, 0.382, 0.764), I at (0.225, 0.929, 0.213), I at (0.382, 0.819, 0.764), I at (0.632, 0.225, 0.213), I at (0.818, 0.035, 0.764) and I at (0.930, 0.632, 0.213).

The calculated volume comes out at 49.905 Å³/atom. For the total energy, the calculation gives -2.855 eV per atom.


Entry 2:
# K2CeHgI6

A relaxed structure of K2CeHgI6 (PBE, Alexandria via LeMat-Bulk).

It has space group R3 (No. 146, hexagonal axes), with a = 8.7685 Å, b = 8.7685 Å, c = 23.8633 Å, α = 90.00°, β = 90.00° and γ = 120.00°. The distinct sites, in fractional coordinates, are K at (0.0000, 0.0000, 0.0000), K at (0.0000, 0.0000, 0.4786), Ce at (0.0000, 0.0000, 0.6684), Hg at (0.0000, 0.0000, 0.1733), I at (0.0026, 0.2862, 0.7416) and I at (0.0083, 0.7248, 0.5929).

The calculated volume comes out at 52.968 Å³/atom. For the total energy, the calculation gives -2.932 eV per atom.


Entry 3:
# KCeHgI6

A relaxed structure of KCeHgI6 (PBE, Alexandria via LeMat-Bulk).

It has space group C2 (No. 5), with a = 8.136 Å, b = 14.108 Å, c = 7.135 Å, α = 90.00°, β = 90.09° and γ = 90.00°. The distinct sites, in fractional coordinates, are K at (0.000, 0.000, 0.000), Ce at (0.000, 0.667, 0.000), Hg at (0.000, 0.333, 0.500), I at (0.137, 0.508, 0.255), I at (0.170, 0.814, 0.255) and I at (0.194, 0.178, 0.254).

The calculated volume comes out at 45.500 Å³/atom. For the total energy, the calculation gives -2.787 eV per atom.


Entry 4:
# CeHgIN

A relaxed structure of CeHgIN (PBE, Alexandria via LeMat-Bulk).

It has space group P4/nmm (No. 129, origin choice 2), with a = 4.089 Å, b = 4.089 Å, c = 13.185 Å, α = 90.00°, β = 90.00° and γ = 90.00°. The distinct sites, in fractional coordinates, are Ce at (0.250, 0.250, 0.082), Hg at (0.250, 0.750, 0.500), I at (0.250, 0.250, 0.766) and N at (0.250, 0.750, 0.000).

The calculated volume comes out at 27.556 Å³/atom. For the total energy, the calculation gives -5.165 eV per atom.